# 1
Compound: HoErS
Source: the Alexandria database
Functional: PBE
Structure: optimized geometry

a = 3.448 Å, b = 3.448 Å, c = 6.479 Å
α = 105.43°, β = 105.43°, γ = 90.00°
Element x y z (fractional)
Ho: 0.692 0.692 0.384
S: 0.334 0.334 0.668
Er: 0.974 0.974 0.948

Summary:
raw formation energy	-97.8	kJ/mol of atoms
volume	23.785	A^3/atom
E_tot	-16.3	eV for the cell shown
SG	No. 107



# 2
Compound: HoErS3
Source: the Alexandria database
Functional: PBE
Structure: optimized geometry

a = 6.627 Å, b = 6.627 Å, c = 7.665 Å
α = 64.39°, β = 64.39°, γ = 60.00°
Element x y z (fractional)
S: 0.550 0.248 0.250
S: 0.048 0.752 0.750
S: 0.752 0.450 0.750
Ho: 0.653 0.653 0.041
Er: 0.154 0.154 0.539
Er: 0.846 0.846 0.461
S: 0.248 0.952 0.250
Ho: 0.347 0.347 0.959
S: 0.450 0.048 0.750
S: 0.952 0.550 0.250

Summary:
raw formation energy	-185.5	kJ/mol of atoms
volume	25.258	A^3/atom
E_tot	-62.3	eV for the cell shown
SG	No. 155



Polymorph energy (0 for the lowest one) values (in meV/atom) by entry order: 262, 95.